Entry from Alexandria via LeMat-Bulk: an optimized crystal structure of Ca3Sn2Pd2 (PBE).

abc: 5.8763 8.5371 14.0651
angles: 90.00 90.00 90.00
With the nearest neighbours (Å) after each atom.
Sites, in units of the cell vectors:
1 Ca 0.8490 0.3938 0.5993  4 Pd 3.03-3.34, 2 Sn 3.24-3.29
2 Ca 0.3584 0.2487 0.2500  5 Sn 3.21-3.52, 4 Pd 3.30-3.33
3 Ca 0.8490 0.1062 0.0993  4 Pd 3.03-3.34, 2 Sn 3.24-3.29
4 Ca 0.8490 0.3938 0.9007  4 Pd 3.03-3.34, 2 Sn 3.24-3.29
5 Ca 0.8490 0.1062 0.4007  4 Pd 3.03-3.34, 2 Sn 3.24-3.29
6 Ca 0.1510 0.8938 0.5993  4 Pd 3.03-3.34, 2 Sn 3.24-3.29
7 Ca 0.1510 0.8938 0.9007  4 Pd 3.03-3.34, 2 Sn 3.24-3.29
8 Ca 0.3584 0.2513 0.7500  5 Sn 3.21-3.52, 4 Pd 3.30-3.33
9 Ca 0.6416 0.7487 0.2500  5 Sn 3.21-3.52, 4 Pd 3.30-3.33
10 Ca 0.6416 0.7513 0.7500  5 Sn 3.21-3.52, 4 Pd 3.30-3.33
11 Ca 0.1510 0.6062 0.4007  4 Pd 3.03-3.34, 2 Sn 3.24-3.29
12 Ca 0.1510 0.6062 0.0993  4 Pd 3.03-3.34, 2 Sn 3.24-3.29
13 Sn 0.6590 0.7500 0.5000  4 Pd 2.76
14 Sn 0.3410 0.2500 0.5000  4 Pd 2.76
15 Sn 0.3410 0.2500 0.0000  4 Pd 2.76
16 Sn 0.1427 0.5986 0.7500  2 Pd 2.70
17 Sn 0.1427 0.9014 0.2500  2 Pd 2.70
18 Sn 0.6590 0.7500 0.0000  4 Pd 2.76
19 Sn 0.8573 0.4014 0.2500  2 Pd 2.70
20 Sn 0.8573 0.0986 0.7500  2 Pd 2.70
21 Pd 0.6219 0.4631 0.4109  3 Sn 2.70-2.76, 1 Pd 2.96, 1 Ca 3.03
22 Pd 0.6219 0.4631 0.0891  3 Sn 2.70-2.76, 1 Pd 2.96, 1 Ca 3.03
23 Pd 0.6219 0.0369 0.5891  3 Sn 2.70-2.76, 1 Pd 2.96, 1 Ca 3.03
24 Pd 0.3781 0.5369 0.9109  3 Sn 2.70-2.76, 1 Pd 2.96, 1 Ca 3.03
25 Pd 0.3781 0.9631 0.0891  3 Sn 2.70-2.76, 1 Pd 2.96, 1 Ca 3.03
26 Pd 0.3781 0.5369 0.5891  3 Sn 2.70-2.76, 1 Pd 2.96, 1 Ca 3.03
27 Pd 0.6219 0.0369 0.9109  3 Sn 2.70-2.76, 1 Pd 2.96, 1 Ca 3.03
28 Pd 0.3781 0.9631 0.4109  3 Sn 2.70-2.76, 1 Pd 2.96, 1 Ca 3.03

Results
* SG: Pbcm (57)

---

Entry from Alexandria via LeMat-Bulk: an optimized crystal structure of CaSn4Pd4 (PBE).

abc: 6.5137 6.5137 9.2181
angles: 90.00 90.00 90.00
With the nearest neighbours (Å) after each atom.
Sites, in units of the cell vectors:
1 Pd 0.5000 0.2153 0.0934  5 Sn 2.67-2.82, 1 Pd 2.80
2 Pd 0.7153 0.0000 0.5934  5 Sn 2.67-2.82, 1 Pd 2.80
3 Pd 0.0000 0.2847 0.4066  5 Sn 2.67-2.82, 1 Pd 2.80
4 Pd 0.5000 0.7847 0.0934  5 Sn 2.67-2.82, 1 Pd 2.80
5 Pd 0.0000 0.7153 0.4066  5 Sn 2.67-2.82, 1 Pd 2.80
6 Pd 0.2847 0.0000 0.5934  5 Sn 2.67-2.82, 1 Pd 2.80
7 Pd 0.2153 0.5000 0.9066  5 Sn 2.67-2.82, 1 Pd 2.80
8 Pd 0.7847 0.5000 0.9066  5 Sn 2.67-2.82, 1 Pd 2.80
9 Ca 0.0000 0.0000 0.0000  4 Sn 3.32, 8 Pd 3.65
10 Ca 0.5000 0.5000 0.5000  4 Sn 3.32, 8 Pd 3.65
11 Sn 0.2720 0.0000 0.3041  5 Pd 2.67-2.82, 1 Sn 2.97
12 Sn 0.7720 0.5000 0.1959  5 Pd 2.67-2.82, 1 Sn 2.97
13 Sn 0.2280 0.5000 0.1959  5 Pd 2.67-2.82, 1 Sn 2.97
14 Sn 0.5000 0.7720 0.8041  5 Pd 2.67-2.82, 1 Sn 2.97
15 Sn 0.7280 0.0000 0.3041  5 Pd 2.67-2.82, 1 Sn 2.97
16 Sn 0.0000 0.7280 0.6959  5 Pd 2.67-2.82, 1 Sn 2.97
17 Sn 0.0000 0.2720 0.6959  5 Pd 2.67-2.82, 1 Sn 2.97
18 Sn 0.5000 0.2280 0.8041  5 Pd 2.67-2.82, 1 Sn 2.97

Results
* SG: P4_2/nmc (137)

---

Entry from Alexandria via LeMat-Bulk: an optimized crystal structure of Ca3Sn4Pd4 (PBE).

abc: 4.7402 3.7269 14.5142
angles: 97.38 99.40 90.00
With the nearest neighbours (Å) after each atom.
Sites, in units of the cell vectors:
1 Ca 0.0000 0.0000 0.0000  4 Pd 3.31, 8 Sn 3.35
2 Ca 0.6445 0.1445 0.2889  6 Sn 3.23-3.30, 6 Pd 3.27-3.31
3 Ca 0.3555 0.8555 0.7111  6 Sn 3.23-3.30, 6 Pd 3.27-3.31
4 Sn 0.5514 0.5514 0.1029  2 Pd 2.69, 1 Sn 2.92
5 Sn 0.1917 0.6917 0.3833  5 Pd 2.71-2.72
6 Sn 0.4486 0.4486 0.8971  2 Pd 2.69, 1 Sn 2.92
7 Sn 0.8083 0.3083 0.6167  5 Pd 2.71-2.72
8 Pd 0.2610 0.2610 0.5220  4 Sn 2.71-2.72
9 Pd 0.0962 0.5962 0.1924  3 Sn 2.69-2.71
10 Pd 0.9038 0.4038 0.8076  3 Sn 2.69-2.71
11 Pd 0.7390 0.7390 0.4780  4 Sn 2.71-2.72

Results
* SG: Immm (71)

---

Entry from Alexandria via LeMat-Bulk: an optimized crystal structure of Ca5SnPd2 (PBE).

abc: 7.9199 7.9199 9.1390
angles: 115.68 115.68 90.00
With the nearest neighbours (Å) after each atom.
Sites, in units of the cell vectors:
1 Pd 0.1254 0.3746 0.0000  1 Pd 2.81, 8 Ca 3.03-3.13
2 Pd 0.3746 0.8746 0.0000  1 Pd 2.81, 8 Ca 3.03-3.13
3 Pd 0.6254 0.1254 0.0000  1 Pd 2.81, 8 Ca 3.03-3.13
4 Pd 0.8746 0.6254 0.0000  1 Pd 2.81, 8 Ca 3.03-3.13
5 Sn 0.7500 0.7500 0.5000  10 Ca 3.37-3.61
6 Sn 0.2500 0.2500 0.5000  10 Ca 3.37-3.61
7 Ca 0.5000 0.5000 0.0000  4 Pd 3.13
8 Ca 0.8054 0.9674 0.2728  3 Pd 3.03-3.07, 2 Sn 3.37
9 Ca 0.0000 0.0000 0.0000  4 Pd 3.13
10 Ca 0.9674 0.4674 0.2728  3 Pd 3.03-3.07, 2 Sn 3.37
11 Ca 0.1946 0.0326 0.7272  3 Pd 3.03-3.07, 2 Sn 3.37
12 Ca 0.4674 0.3054 0.2728  3 Pd 3.03-3.07, 2 Sn 3.37
13 Ca 0.3054 0.8054 0.2728  3 Pd 3.03-3.07, 2 Sn 3.37
14 Ca 0.0326 0.5326 0.7272  3 Pd 3.03-3.07, 2 Sn 3.37
15 Ca 0.5326 0.6946 0.7272  3 Pd 3.03-3.07, 2 Sn 3.37
16 Ca 0.6946 0.1946 0.7272  3 Pd 3.03-3.07, 2 Sn 3.37

Results
* SG: I4/mcm (140)

---

Entry from Alexandria via LeMat-Bulk: an optimized crystal structure of CaSn2Pd4 (PBE).

abc: 4.4275 7.6399 16.1740
angles: 90.00 90.00 90.00
With the nearest neighbours (Å) after each atom.
Sites, in units of the cell vectors:
1 Pd 0.7500 0.6478 0.7771  3 Sn 2.72-2.76, 3 Pd 2.88-2.89, 1 Ca 2.89
2 Pd 0.2500 0.5636 0.6705  4 Sn 2.80-3.12, 4 Pd 2.88-2.91, 1 Ca 3.12
3 Pd 0.2500 0.9364 0.1705  4 Sn 2.80-3.12, 4 Pd 2.88-2.91, 1 Ca 3.12
4 Pd 0.7500 0.5576 0.5536  4 Sn 2.68-2.73, 4 Pd 2.91-2.95
5 Pd 0.7500 0.0636 0.8295  4 Sn 2.80-3.12, 4 Pd 2.88-2.91, 1 Ca 3.12
6 Pd 0.2500 0.0576 0.9464  4 Sn 2.68-2.73, 4 Pd 2.91-2.95
7 Pd 0.7500 0.8950 0.4546  3 Sn 2.70-2.71, 1 Pd 2.89
8 Pd 0.7500 0.4364 0.3295  4 Sn 2.80-3.12, 4 Pd 2.88-2.91, 1 Ca 3.12
9 Pd 0.7500 0.6050 0.9546  3 Sn 2.70-2.71, 1 Pd 2.89
10 Pd 0.2500 0.1478 0.7229  3 Sn 2.72-2.76, 3 Pd 2.88-2.89, 1 Ca 2.89
11 Pd 0.2500 0.4424 0.4464  4 Sn 2.68-2.73, 4 Pd 2.91-2.95
12 Pd 0.7500 0.8522 0.2771  3 Sn 2.72-2.76, 3 Pd 2.88-2.89, 1 Ca 2.89
13 Pd 0.2500 0.3950 0.0454  3 Sn 2.70-2.71, 1 Pd 2.89
14 Pd 0.2500 0.3522 0.2229  3 Sn 2.72-2.76, 3 Pd 2.88-2.89, 1 Ca 2.89
15 Pd 0.2500 0.1050 0.5454  3 Sn 2.70-2.71, 1 Pd 2.89
16 Pd 0.7500 0.9424 0.0536  4 Sn 2.68-2.73, 4 Pd 2.91-2.95
17 Ca 0.2500 0.0851 0.3499  8 Pd 2.89-3.17
18 Ca 0.2500 0.4149 0.8499  8 Pd 2.89-3.17
19 Ca 0.7500 0.9149 0.6501  8 Pd 2.89-3.17
20 Ca 0.7500 0.5851 0.1501  8 Pd 2.89-3.17
21 Sn 0.2500 0.7537 0.5228  7 Pd 2.68-2.80
22 Sn 0.2500 0.6602 0.3123  6 Pd 2.72-2.81
23 Sn 0.7500 0.1602 0.1877  6 Pd 2.72-2.81
24 Sn 0.2500 0.7463 0.0228  7 Pd 2.68-2.80
25 Sn 0.2500 0.8398 0.8123  6 Pd 2.72-2.81
26 Sn 0.7500 0.2463 0.4772  7 Pd 2.68-2.80
27 Sn 0.7500 0.2537 0.9772  7 Pd 2.68-2.80
28 Sn 0.7500 0.3398 0.6877  6 Pd 2.72-2.81

Results
* SG: Pnma (62)

---

Entry from Alexandria via LeMat-Bulk: an optimized crystal structure of CaSnPd4 (PBE).

abc: 5.4029 5.4029 5.4029
angles: 60.00 60.00 60.00
With the nearest neighbours (Å) after each atom.
Sites, in units of the cell vectors:
1 Ca 0.2500 0.2500 0.2500  12 Pd 3.17, 4 Sn 3.31
2 Sn 0.0000 0.0000 0.0000  12 Pd 3.17, 4 Ca 3.31
3 Pd 0.6254 0.6254 0.1237  6 Pd 2.69-2.71
4 Pd 0.6254 0.6254 0.6254  6 Pd 2.69-2.71
5 Pd 0.1238 0.6254 0.6254  6 Pd 2.69-2.71
6 Pd 0.6254 0.1237 0.6254  6 Pd 2.69-2.71

Results
* SG: F-43m (216)

---

Energy of formation values, unit kcal/mol of atoms, following the record order: -18.22; -11.33; -15.73; -14.82; -14.26; -11.82.